A) First-principles (PBE-GGA) data for an optimized crystal structure of BCS2Cl, as listed in the Alexandria database.

Cell: 4.179 4.179 4.138 Å, 90.00 90.00 90.00°
Space group P4/mmm (No. 123)
One atom of each set of equivalent atoms:
B1 0.000 0.000 0.000 (multiplicity 1)
C1 0.500 0.500 0.500 (multiplicity 1)
S1 0.000 0.500 0.000 (multiplicity 2)
Cl1 0.000 0.000 0.500 (multiplicity 1)

Computed properties:
volume: 14.5 A^3/atom

B) First-principles (PBE-GGA) data for an optimized crystal structure of BCS2Cl, as listed in the Alexandria database.

Cell: 3.818 3.818 7.857 Å, 90.00 90.00 90.00°
Space group P4/mmm (No. 123)
One atom of each set of equivalent atoms:
B1 0.000 0.000 0.000 (multiplicity 1)
C1 0.500 0.500 0.500 (multiplicity 1)
S1 0.000 0.500 0.500 (multiplicity 2)
Cl1 0.500 0.500 0.000 (multiplicity 1)

Computed properties:
volume: 22.9 A^3/atom

Which one sits at the bottom of the stability order? A) does.

A) First-principles (PBE-GGA) data for an optimized crystal structure of CoBC, as listed in the Alexandria database.

Cell: 7.311 2.774 5.473 Å, 90.00 119.65 90.00°
Space group Cm (No. 8)
One atom of each set of equivalent atoms:
Co1 0.000 0.000 0.000 (multiplicity 2)
Co2 0.097 0.500 0.665 (multiplicity 2)
B1 0.231 0.500 0.381 (multiplicity 2)
B2 0.267 0.000 0.927 (multiplicity 2)
C1 0.310 0.000 0.324 (multiplicity 2)
C2 0.476 0.000 0.241 (multiplicity 2)

Computed properties:
volume: 8.0 A^3/atom

B) First-principles (PBE-GGA) data for an optimized crystal structure of CoBC, as listed in the Alexandria database.

Cell: 7.250 2.673 5.756 Å, 90.00 115.69 90.00°
Space group Cm (No. 8)
One atom of each set of equivalent atoms:
Co1 0.000 0.000 0.000 (multiplicity 2)
Co2 0.191 0.000 0.695 (multiplicity 2)
B1 0.260 0.000 0.365 (multiplicity 2)
B2 0.498 0.000 0.739 (multiplicity 2)
C1 0.128 0.500 0.314 (multiplicity 2)
C2 0.497 0.000 0.450 (multiplicity 2)

Computed properties:
volume: 8.4 A^3/atom

C) First-principles (PBE-GGA) data for an optimized crystal structure of CoBC, as listed in the Alexandria database.

Cell: 7.410 2.669 4.932 Å, 90.00 102.16 90.00°
Space group Cm (No. 8)
One atom of each set of equivalent atoms:
Co1 0.000 0.000 0.000 (multiplicity 2)
Co2 0.249 0.000 0.716 (multiplicity 2)
B1 0.120 0.500 0.354 (multiplicity 2)
B2 0.214 0.500 0.034 (multiplicity 2)
C1 0.014 0.000 0.405 (multiplicity 2)
C2 0.343 0.500 0.495 (multiplicity 2)

Computed properties:
volume: 7.9 A^3/atom

Which one sits at the bottom of the stability order? B) does.

A) First-principles (PBE-GGA) data for an optimized crystal structure of CoBC, as listed in the Alexandria database.

Cell: 7.533 2.653 5.011 Å, 90.00 96.99 90.00°
Space group Cm (No. 8)
One atom of each set of equivalent atoms:
Co1 0.000 0.000 0.000 (multiplicity 2)
Co2 0.240 0.500 0.293 (multiplicity 2)
B1 0.282 0.000 0.986 (multiplicity 2)
B2 0.380 0.000 0.681 (multiplicity 2)
C1 0.071 0.000 0.378 (multiplicity 2)
C2 0.453 0.500 0.577 (multiplicity 2)

Computed properties:
volume: 8.3 A^3/atom

B) First-principles (PBE-GGA) data for an optimized crystal structure of CoBC, as listed in the Alexandria database.

Cell: 6.741 2.907 2.761 Å, 90.00 114.02 90.00°
Space group Cm (No. 8)
One atom of each set of equivalent atoms:
Co1 0.000 0.000 0.000 (multiplicity 2)
B1 0.356 0.000 0.356 (multiplicity 2)
C1 0.263 0.000 0.763 (multiplicity 2)

Computed properties:
volume: 8.2 A^3/atom

Which one sits at the bottom of the stability order? B) does.

A) First-principles (PBE-GGA) data for an optimized crystal structure of CoBC, as listed in the Alexandria database.

Cell: 4.874 2.662 4.189 Å, 90.00 120.24 90.00°
Space group Cm (No. 8)
One atom of each set of equivalent atoms:
Co1 0.000 0.000 0.000 (multiplicity 2)
B1 0.079 0.500 0.483 (multiplicity 2)
C1 0.285 0.000 0.543 (multiplicity 2)

Computed properties:
volume: 7.8 A^3/atom

B) First-principles (PBE-GGA) data for an optimized crystal structure of CoBC, as listed in the Alexandria database.

Cell: 6.033 2.593 6.586 Å, 90.00 105.87 90.00°
Space group Cm (No. 8)
One atom of each set of equivalent atoms:
Co1 0.000 0.000 0.000 (multiplicity 2)
Co2 0.184 0.500 0.334 (multiplicity 2)
B1 0.144 0.500 0.656 (multiplicity 2)
B2 0.343 0.000 0.171 (multiplicity 2)
C1 0.238 0.000 0.588 (multiplicity 2)
C2 0.448 0.000 0.767 (multiplicity 2)

Computed properties:
volume: 8.3 A^3/atom

C) First-principles (PBE-GGA) data for an optimized crystal structure of CoBC, as listed in the Alexandria database.

Cell: 2.7427 2.7427 3.8636 Å, 90.00 90.00 120.00°
Space group P-6m2 (No. 187)
One atom of each set of equivalent atoms:
Co1 0.0000 0.0000 0.0000 (multiplicity 1)
B1 0.3333 0.6667 0.5000 (multiplicity 1)
C1 0.0000 0.0000 0.5000 (multiplicity 1)

Computed properties:
volume: 8.4 A^3/atom

Which one sits at the bottom of the stability order? B) does.

A) First-principles (PBE-GGA) data for an optimized crystal structure of CrB3C, as listed in the Alexandria database.

Cell: 3.843 3.843 3.843 Å, 90.00 90.00 90.00°
Space group Pm-3m (No. 221)
One atom of each set of equivalent atoms:
Cr1 0.000 0.000 0.000 (multiplicity 1)
B1 0.000 0.000 0.500 (multiplicity 3)
C1 0.500 0.500 0.500 (multiplicity 1)

Computed properties:
volume: 11.4 A^3/atom

B) First-principles (PBE-GGA) data for an optimized crystal structure of CrB3C, as listed in the Alexandria database.

Cell: 3.390 3.390 3.390 Å, 90.00 90.00 90.00°
Space group Pm-3m (No. 221)
One atom of each set of equivalent atoms:
Cr1 0.000 0.000 0.000 (multiplicity 1)
B1 0.000 0.500 0.500 (multiplicity 3)
C1 0.500 0.500 0.500 (multiplicity 1)

Computed properties:
volume: 7.8 A^3/atom

Which one sits at the bottom of the stability order? A) does.

A) First-principles (PBE-GGA) data for an optimized crystal structure of Cr2BC, as listed in the Alexandria database.

Cell: 5.107 5.107 5.107 Å, 90.00 90.00 90.00°
Space group Fm-3m (No. 225)
One atom of each set of equivalent atoms:
Cr1 0.250 0.250 0.250 (multiplicity 8)
B1 0.000 0.000 0.000 (multiplicity 4)
C1 0.000 0.000 0.500 (multiplicity 4)

Computed properties:
volume: 8.3 A^3/atom

B) First-principles (PBE-GGA) data for an optimized crystal structure of Cr2BC, as listed in the Alexandria database.

Cell: 5.285 5.285 5.264 Å, 90.00 90.00 90.00°
Space group I-42d (No. 122)
One atom of each set of equivalent atoms:
Cr1 0.228 0.250 0.125 (multiplicity 8)
B1 0.000 0.000 0.500 (multiplicity 4)
C1 0.000 0.000 0.000 (multiplicity 4)

Computed properties:
volume: 9.2 A^3/atom

Which one sits at the bottom of the stability order? A) does.

A) First-principles (PBE-GGA) data for an optimized crystal structure of Cr3BC, as listed in the Alexandria database.

Cell: 8.068 3.845 6.624 Å, 90.00 114.97 90.00°
Space group C2/m (No. 12)
One atom of each set of equivalent atoms:
Cr1 0.120 0.000 0.423 (multiplicity 4)
Cr2 0.139 0.500 0.147 (multiplicity 4)
Cr3 0.149 0.500 0.756 (multiplicity 4)
B1 0.085 0.000 0.929 (multiplicity 4)
C1 0.115 0.500 0.432 (multiplicity 4)

Computed properties:
volume: 9.3 A^3/atom

B) First-principles (PBE-GGA) data for an optimized crystal structure of Cr3BC, as listed in the Alexandria database.

Cell: 3.729 3.729 3.729 Å, 90.00 90.00 90.00°
Space group Pm-3m (No. 221)
One atom of each set of equivalent atoms:
Cr1 0.000 0.000 0.500 (multiplicity 3)
B1 0.500 0.500 0.500 (multiplicity 1)
C1 0.000 0.000 0.000 (multiplicity 1)

Computed properties:
volume: 10.4 A^3/atom

Which one sits at the bottom of the stability order? B) does.

A) First-principles (PBE-GGA) data for an optimized crystal structure of CrBC3, as listed in the Alexandria database.

Cell: 3.380 3.380 3.380 Å, 90.00 90.00 90.00°
Space group Pm-3m (No. 221)
One atom of each set of equivalent atoms:
Cr1 0.000 0.000 0.000 (multiplicity 1)
B1 0.500 0.500 0.500 (multiplicity 1)
C1 0.000 0.500 0.500 (multiplicity 3)

Computed properties:
volume: 7.7 A^3/atom

B) First-principles (PBE-GGA) data for an optimized crystal structure of CrBC3, as listed in the Alexandria database.

Cell: 3.795 3.795 3.795 Å, 90.00 90.00 90.00°
Space group Pm-3m (No. 221)
One atom of each set of equivalent atoms:
Cr1 0.000 0.000 0.000 (multiplicity 1)
B1 0.500 0.500 0.500 (multiplicity 1)
C1 0.000 0.000 0.500 (multiplicity 3)

Computed properties:
volume: 10.9 A^3/atom

Which one sits at the bottom of the stability order? B) does.